1.
BaTlHRh | PBE-GGA | relaxed Values from VASP.

Values from the calculation:
- crystal system = tetragonal
- DOS at the Fermi energy (states/eV per cell) = 4.09
- calculated total energy (eV per atom) = -4.0478
- volume (Å³/atom) = 23.3

Cell and atoms, written as Quantum ESPRESSO input:
```
&SYSTEM
  ibrav = 0, nat = 8, ntyp = 4
/
ATOMIC_SPECIES
Ba 137.33 Ba.upf
Tl 204.38 Tl.upf
H 1.01 H.upf
Rh 102.91 Rh.upf
ATOMIC_POSITIONS crystal
Ba 0.2500 0.2500 0.1865
Ba 0.7500 0.7500 0.8135
Tl 0.2500 0.7500 0.5000
Tl 0.7500 0.2500 0.5000
H 0.2500 0.2500 0.8856
H 0.7500 0.7500 0.1144
Rh 0.2500 0.2500 0.6979
Rh 0.7500 0.7500 0.3021
CELL_PARAMETERS angstrom
4.5711 0.0000 0.0000
0.0000 4.5711 0.0000
0.0000 0.0000 8.9345
```

2.
BaTmH8Rh2 | PBE-GGA | relaxed Values from VASP.

Values from the calculation:
- crystal system = trigonal
- DOS at the Fermi energy (states/eV per cell) = 3.05
- calculated total energy (eV per atom) = -4.3307
- volume (Å³/atom) = 11.6

Cell and atoms, written as Quantum ESPRESSO input:
```
&SYSTEM
  ibrav = 0, nat = 12, ntyp = 4
/
ATOMIC_SPECIES
Ba 137.33 Ba.upf
Tm 168.93 Tm.upf
H 1.01 H.upf
Rh 102.91 Rh.upf
ATOMIC_POSITIONS crystal
Ba 0.0000 0.0000 0.0000
Tm 0.5000 0.5000 0.5000
H 0.0736 0.4034 0.8901
H 0.1099 0.9264 0.5966
H 0.2831 0.2831 0.2831
H 0.4034 0.8901 0.0736
H 0.5966 0.1099 0.9264
H 0.7169 0.7169 0.7169
H 0.8901 0.0736 0.4034
H 0.9264 0.5966 0.1099
Rh 0.1905 0.1905 0.1905
Rh 0.8095 0.8095 0.8095
CELL_PARAMETERS angstrom
2.5358 1.4640 6.2724
-2.5358 1.4640 6.2724
0.0000 -2.9280 6.2724
```

3.
BaY2HRh | PBE-GGA | relaxed Values from VASP.

Values from the calculation:
- crystal system = tetragonal
- DOS at the Fermi energy (states/eV per cell) = 3.77
- calculated total energy (eV per atom) = -5.0755
- volume (Å³/atom) = 22.0

Cell and atoms, written as Quantum ESPRESSO input:
```
&SYSTEM
  ibrav = 0, nat = 5, ntyp = 4
/
ATOMIC_SPECIES
Ba 137.33 Ba.upf
Y 88.91 Y.upf
H 1.01 H.upf
Rh 102.91 Rh.upf
ATOMIC_POSITIONS crystal
Ba 0.0000 0.0000 0.0000
Y 0.0000 0.5000 0.5000
Y 0.5000 0.0000 0.5000
H 0.5000 0.5000 0.5000
Rh 0.5000 0.5000 0.0000
CELL_PARAMETERS angstrom
5.3120 0.0000 0.0000
0.0000 5.3120 0.0000
0.0000 0.0000 3.8936
```

4.
Ba2YH12Rh3 | PBE-GGA | relaxed Values from VASP.

Values from the calculation:
- crystal system = trigonal
- DOS at the Fermi energy (states/eV per cell) = 2.97
- calculated total energy (eV per atom) = -4.4828
- volume (Å³/atom) = 11.2

Cell and atoms, written as Quantum ESPRESSO input:
```
&SYSTEM
  ibrav = 0, nat = 18, ntyp = 4
/
ATOMIC_SPECIES
Ba 137.33 Ba.upf
Y 88.91 Y.upf
H 1.01 H.upf
Rh 102.91 Rh.upf
ATOMIC_POSITIONS crystal
Ba 0.1165 0.1165 0.1165
Ba 0.8835 0.8835 0.8835
Y 0.5000 0.5000 0.5000
H 0.1056 0.6201 0.6201
H 0.2170 0.2170 0.5834
H 0.2170 0.5834 0.2170
H 0.3799 0.3799 0.8944
H 0.3799 0.8944 0.3799
H 0.4166 0.7830 0.7830
H 0.5834 0.2170 0.2170
H 0.6201 0.1056 0.6201
H 0.6201 0.6201 0.1056
H 0.7830 0.4166 0.7830
H 0.7830 0.7830 0.4166
H 0.8944 0.3799 0.3799
Rh 0.0000 0.5000 0.5000
Rh 0.5000 0.0000 0.5000
Rh 0.5000 0.5000 0.0000
CELL_PARAMETERS angstrom
3.4663 2.0012 4.8369
-3.4663 2.0012 4.8369
0.0000 -4.0025 4.8369
```

5.
Ba2ZnH12Rh3 | PBE-GGA | relaxed Values from VASP.

Values from the calculation:
- crystal system = trigonal
- DOS at the Fermi energy (states/eV per cell) = 2.79
- calculated total energy (eV per atom) = -4.0476
- volume (Å³/atom) = 10.2

Cell and atoms, written as Quantum ESPRESSO input:
```
&SYSTEM
  ibrav = 0, nat = 18, ntyp = 4
/
ATOMIC_SPECIES
Ba 137.33 Ba.upf
Zn 65.41 Zn.upf
H 1.01 H.upf
Rh 102.91 Rh.upf
ATOMIC_POSITIONS crystal
Ba 0.1232 0.1232 0.1232
Ba 0.8768 0.8768 0.8768
Zn 0.5000 0.5000 0.5000
H 0.1548 0.5918 0.5918
H 0.1805 0.1805 0.5804
H 0.1805 0.5804 0.1805
H 0.4082 0.4082 0.8452
H 0.4082 0.8452 0.4082
H 0.4196 0.8195 0.8195
H 0.5804 0.1805 0.1805
H 0.5918 0.1548 0.5918
H 0.5918 0.5918 0.1548
H 0.8195 0.4196 0.8195
H 0.8195 0.8195 0.4196
H 0.8452 0.4082 0.4082
Rh 0.0000 0.5000 0.5000
Rh 0.5000 0.0000 0.5000
Rh 0.5000 0.5000 0.0000
CELL_PARAMETERS angstrom
3.2860 1.8972 4.9120
-3.2860 1.8972 4.9120
0.0000 -3.7944 4.9120
```

6.
BaH7Ru2 | PBE-GGA | relaxed Values from VASP.

Values from the calculation:
- crystal system = orthorhombic
- DOS at the Fermi energy (states/eV per cell) = 4.75
- calculated total energy (eV per atom) = -4.5066
- volume (Å³/atom) = 9.5

Cell and atoms, written as Quantum ESPRESSO input:
```
&SYSTEM
  ibrav = 0, nat = 10, ntyp = 3
/
ATOMIC_SPECIES
Ba 137.33 Ba.upf
H 1.01 H.upf
Ru 101.07 Ru.upf
ATOMIC_POSITIONS crystal
Ba 0.0000 0.0000 0.0000
H 0.0268 0.3423 0.5000
H 0.3255 0.6745 0.0000
H 0.3423 0.0268 0.5000
H 0.5000 0.5000 0.5000
H 0.6577 0.9732 0.5000
H 0.6745 0.3255 0.0000
H 0.9732 0.6577 0.5000
Ru 0.3150 0.6850 0.5000
Ru 0.6850 0.3150 0.5000
CELL_PARAMETERS angstrom
2.7010 -4.8397 0.0000
2.7010 4.8397 0.0000
0.0000 0.0000 3.6187
```

7.
Ba2HRu | PBE-GGA | relaxed Values from VASP.

Values from the calculation:
- crystal system = cubic
- DOS at the Fermi energy (states/eV per cell) = 5.20
- calculated total energy (eV per atom) = -3.6571
- volume (Å³/atom) = 26.5

Cell and atoms, written as Quantum ESPRESSO input:
```
&SYSTEM
  ibrav = 0, nat = 4, ntyp = 3
/
ATOMIC_SPECIES
Ba 137.33 Ba.upf
H 1.01 H.upf
Ru 101.07 Ru.upf
ATOMIC_POSITIONS crystal
Ba 0.2500 0.2500 0.2500
Ba 0.7500 0.7500 0.7500
H 0.0000 0.0000 0.0000
Ru 0.5000 0.5000 0.5000
CELL_PARAMETERS angstrom
0.0000 3.7552 3.7552
3.7552 0.0000 3.7552
3.7552 3.7552 0.0000
```

8.
Ba2H2Ru | PBE-GGA | relaxed Values from VASP.

Values from the calculation:
- crystal system = tetragonal
- DOS at the Fermi energy (states/eV per cell) = 7.50
- calculated total energy (eV per atom) = -3.6863
- volume (Å³/atom) = 23.6

Cell and atoms, written as Quantum ESPRESSO input:
```
&SYSTEM
  ibrav = 0, nat = 5, ntyp = 3
/
ATOMIC_SPECIES
Ba 137.33 Ba.upf
H 1.01 H.upf
Ru 101.07 Ru.upf
ATOMIC_POSITIONS crystal
Ba 0.1397 0.1397 0.0000
Ba 0.8603 0.8603 0.0000
H 0.2500 0.7500 0.5000
H 0.7500 0.2500 0.5000
Ru 0.5000 0.5000 0.0000
CELL_PARAMETERS angstrom
-1.9713 1.9713 7.5879
1.9713 -1.9713 7.5879
1.9713 1.9713 -7.5879
```

9.
BaH5Ru | PBE-GGA | relaxed Values from VASP.

Values from the calculation:
- crystal system = monoclinic
- DOS at the Fermi energy (states/eV per cell) = 2.24
- calculated total energy (eV per atom) = -4.0821
- volume (Å³/atom) = 10.3

Cell and atoms, written as Quantum ESPRESSO input:
```
&SYSTEM
  ibrav = 0, nat = 14, ntyp = 3
/
ATOMIC_SPECIES
Ba 137.33 Ba.upf
H 1.01 H.upf
Ru 101.07 Ru.upf
ATOMIC_POSITIONS crystal
Ba 0.2397 0.7603 0.7500
Ba 0.7603 0.2397 0.2500
H 0.1968 0.8032 0.2500
H 0.2233 0.3085 0.1835
H 0.2250 0.3091 0.8502
H 0.3085 0.2233 0.6835
H 0.3091 0.2250 0.3502
H 0.6909 0.7750 0.6498
H 0.6915 0.7767 0.3165
H 0.7750 0.6909 0.1498
H 0.7767 0.6915 0.8165
H 0.8032 0.1968 0.7500
Ru 0.0000 0.5000 0.0000
Ru 0.5000 0.0000 0.5000
CELL_PARAMETERS angstrom
4.7166 -3.2432 0.0000
4.7166 3.2432 0.0000
-4.1727 0.0000 4.7030
```

10.
Ba6H12Ru | PBE-GGA | relaxed Values from VASP.

Values from the calculation:
- crystal system = trigonal
- DOS at the Fermi energy (states/eV per cell) = 5.96
- calculated total energy (eV per atom) = -3.5629
- volume (Å³/atom) = 18.5

Cell and atoms, written as Quantum ESPRESSO input:
```
&SYSTEM
  ibrav = 0, nat = 19, ntyp = 3
/
ATOMIC_SPECIES
Ba 137.33 Ba.upf
H 1.01 H.upf
Ru 101.07 Ru.upf
ATOMIC_POSITIONS crystal
Ba 0.0955 0.6469 0.7642
Ba 0.2358 0.9045 0.3531
Ba 0.3531 0.2358 0.9045
Ba 0.6469 0.7642 0.0955
Ba 0.7642 0.0955 0.6469
Ba 0.9045 0.3531 0.2358
H 0.0161 0.3246 0.8983
H 0.1017 0.9839 0.6754
H 0.2608 0.5305 0.4356
H 0.3246 0.8983 0.0161
H 0.4356 0.2608 0.5305
H 0.4695 0.5644 0.7392
H 0.5305 0.4356 0.2608
H 0.5644 0.7392 0.4695
H 0.6754 0.1017 0.9839
H 0.7392 0.4695 0.5644
H 0.8983 0.0161 0.3246
H 0.9839 0.6754 0.1017
Ru 0.5000 0.5000 0.5000
CELL_PARAMETERS angstrom
5.3610 3.0952 3.5235
-5.3610 3.0952 3.5235
0.0000 -6.1904 3.5235
```

11.
BaHRu3 | PBE-GGA | relaxed Values from VASP.

Values from the calculation:
- crystal system = cubic
- DOS at the Fermi energy (states/eV per cell) = 6.44
- calculated total energy (eV per atom) = -5.6962
- volume (Å³/atom) = 15.4

Cell and atoms, written as Quantum ESPRESSO input:
```
&SYSTEM
  ibrav = 0, nat = 5, ntyp = 3
/
ATOMIC_SPECIES
Ba 137.33 Ba.upf
H 1.01 H.upf
Ru 101.07 Ru.upf
ATOMIC_POSITIONS crystal
Ba 0.0000 0.0000 0.0000
H 0.5000 0.5000 0.5000
Ru 0.0000 0.5000 0.5000
Ru 0.5000 0.0000 0.5000
Ru 0.5000 0.5000 0.0000
CELL_PARAMETERS angstrom
4.2515 0.0000 0.0000
0.0000 4.2515 0.0000
0.0000 0.0000 4.2515
```

12.
Ba8H2Ru | PBE-GGA | relaxed Values from VASP.

Values from the calculation:
- crystal system = monoclinic
- DOS at the Fermi energy (states/eV per cell) = 9.88
- calculated total energy (eV per atom) = -2.8949
- volume (Å³/atom) = 46.4

Cell and atoms, written as Quantum ESPRESSO input:
```
&SYSTEM
  ibrav = 0, nat = 11, ntyp = 3
/
ATOMIC_SPECIES
Ba 137.33 Ba.upf
H 1.01 H.upf
Ru 101.07 Ru.upf
ATOMIC_POSITIONS crystal
Ba 0.1313 0.6735 0.7189
Ba 0.1613 0.1613 0.7735
Ba 0.3265 0.8687 0.2811
Ba 0.3830 0.3830 0.2742
Ba 0.6170 0.6170 0.7258
Ba 0.6735 0.1313 0.7189
Ba 0.8387 0.8387 0.2265
Ba 0.8687 0.3265 0.2811
H 0.4423 0.4423 0.6191
H 0.5577 0.5577 0.3809
Ru 0.0000 0.0000 0.5000
CELL_PARAMETERS angstrom
7.5335 -4.5292 0.0000
7.5335 4.5292 0.0000
-1.0723 0.0000 7.4809
```

The highest calculated total energy belongs to which entry?
Ba8H2Ru

Which of these has the lowest calculated total energy?
BaHRu3

DOS at the Fermi energy of number 3 (BaY2HRh)?
3.77 states/eV per cell

volume of number 6 (BaH7Ru2)?
9.5 Å³/atom